# 1
A relaxed Nd6HoMg2 crystal, computed with PBE-GGA.

Computed properties:
Fermi-level density of states, states/eV per cell: 11.8
Energy relative to the lowest polymorph listed for this composition, eV/atom: 0.000
Formation enthalpy at 0 K, eV/atom: 0.06
Space group: C222, No. 21

Unit cell a=6.1415 b=6.1415 c=8.8156 alpha=90.00 beta=90.00 gamma=119.52
Fractional positions:
Nd1 0.1719 0.3410 0.6640
Nd2 0.1740 0.8260 0.0000
Nd3 0.3410 0.1719 0.3360
Nd4 0.6590 0.8281 0.3360
Nd5 0.8260 0.1740 0.0000
Nd6 0.8281 0.6590 0.6640
Ho1 0.5000 0.5000 0.0000
Mg1 0.0000 0.5000 0.3295
Mg2 0.5000 0.0000 0.6705

=====

# 2
A relaxed KSiTc2 crystal, computed with PBE-GGA.

Computed properties:
Fermi-level density of states, states/eV per cell: 4.6
Space group: Pmm2, No. 25
Raw formation energy, eV per atom: 0.391

Unit cell a=2.8147 b=3.7947 c=7.6591 alpha=90.00 beta=90.00 gamma=90.00
Fractional positions:
K1 0.0000 0.0000 0.0000
Si1 0.5000 0.5000 0.3185
Tc1 0.0000 0.0000 0.4839
Tc2 0.5000 0.5000 0.6321

=====

# 3
A relaxed Er2AgIr crystal, computed with PBE-GGA.

Computed properties:
Fermi-level density of states, states/eV per cell: 4.3
Energy relative to the lowest polymorph listed for this composition, eV/atom: 0.016
Formation enthalpy at 0 K, eV/atom: -0.63
Space group: P4/mmm, No. 123

Unit cell a=3.4554 b=3.4554 c=7.2784 alpha=90.00 beta=90.00 gamma=90.00
Fractional positions:
Er1 0.0000 0.0000 0.2239
Er2 0.0000 0.0000 0.7761
Ag1 0.5000 0.5000 0.5000
Ir1 0.5000 0.5000 0.0000

=====

# 4
A relaxed Ce2ThP crystal, computed with PBE-GGA.

Computed properties:
Fermi-level density of states, states/eV per cell: 9.9
Energy relative to the lowest polymorph listed for this composition, eV/atom: 0.193
Formation enthalpy at 0 K, eV/atom: -0.35
Space group: R-3m, No. 166

Unit cell a=10.4215 b=10.4215 c=10.4215 alpha=20.17 beta=20.17 gamma=20.17
Fractional positions:
Ce1 0.1087 0.1087 0.1087
Ce2 0.8913 0.8913 0.8913
Th1 0.0000 0.0000 0.0000
P1 0.5000 0.5000 0.5000